(1)
Density functional theory data (GGA-PBE) for an optimized crystal structure of Tb2ScTl.

POSCAR file:
```
Tb2ScTl
1.0
-0.0227 3.1574 2.2024
-0.0995 -3.0726 4.4039
5.3697 -0.0310 0.0997
Tb Tl Sc
2 1 1
Cartesian
2.6849 -0.0155 0.0499
-0.0498 -1.5363 2.2019
-0.0114 1.5787 1.1012
2.6237 0.0269 3.3530
```

## Properties
As for the energy of formation: -10 kJ/mol of atoms. As for the final energy: -4.598 eV per atom. Its space-group type is P4/mmm (123). The value obtained for the spin magnetization is 0.00 μB per atom. For the volume, the calculation gives 27.76 A^3/atom.

=====

(2)
Density functional theory data (GGA-PBE) for an optimized crystal structure of Tb2ScTl3.

POSCAR file:
```
Tb2ScTl3
1.0
-2.9406 1.1137 1.9488
1.3852 -1.6269 3.0199
5.4767 9.7064 2.7170
Sc Tb Tl
1 2 3
Cartesian
1.9606 4.5966 3.8429
3.7432 7.7558 4.7272
0.1780 1.4373 2.9585
1.9093 3.3839 0.9472
3.5674 6.3224 1.7698
0.0000 0.0000 0.0000
```

## Properties
As for the energy of formation: -31 kJ/mol of atoms. As for the final energy: -4.106 eV per atom. Its space-group type is P4/mmm (123). The value obtained for the spin magnetization is 0.00 μB per atom. For the volume, the calculation gives 26.17 A^3/atom.

=====

(3)
Density functional theory data (GGA-PBE) for an optimized crystal structure of TbSc2Tl2.

POSCAR file:
```
TbSc2Tl2
1.0
-1.2825 4.3020 -1.5267
-3.6452 -3.0323 -0.0132
-1.4764 1.7484 6.1674
Sc Tb Tl
2 1 2
Cartesian
-3.9611 -0.8470 2.8000
-2.4431 3.8650 1.8276
0.0000 0.0000 0.0000
-2.8377 1.0773 0.7908
-3.5666 1.9407 3.8368
```

## Properties
As for the energy of formation: 7 kJ/mol of atoms. As for the final energy: -4.335 eV per atom. Its space-group type is Cmmm (65). The value obtained for the spin magnetization is 0.27 μB per atom. For the volume, the calculation gives 27.46 A^3/atom.

=====

(4)
Density functional theory data (GGA-PBE) for an optimized crystal structure of Tb8ScTl2.

POSCAR file:
```
Tb8ScTl2
1.0
5.5313 -0.3201 -0.4805
-1.3830 8.6457 -0.7162
-1.3830 -3.9908 7.7029
Tb Tl Sc
8 2 1
Cartesian
1.3827 -1.4641 5.6727
2.7989 1.5986 2.3995
0.0705 2.3481 0.4527
1.3827 5.7990 0.8336
-0.0336 2.7362 4.1068
2.6949 4.8214 4.1650
2.6949 1.9867 6.0536
0.0705 -0.4866 2.3413
-1.3830 -0.1321 5.1320
-1.3830 4.7870 1.8547
2.7656 -0.1601 -0.2402
```

## Properties
As for the energy of formation: -1 kJ/mol of atoms. As for the final energy: -4.383 eV per atom. Its space-group type is C2/m (12). The value obtained for the spin magnetization is 0.00 μB per atom. For the volume, the calculation gives 30.95 A^3/atom.

=====

(5)
Density functional theory data (GGA-PBE) for an optimized crystal structure of Tb2ScTl9.

POSCAR file:
```
Tb2ScTl9
1.0
-4.1974 -0.1739 -2.2069
-2.0462 -1.5006 4.0100
-2.5307 13.4762 3.7516
Tb Tl Sc
2 9 1
Cartesian
-1.6938 9.0193 2.5109
-0.8370 4.4569 1.2407
-3.1218 -0.8372 0.9016
-3.9613 3.6332 2.1461
-3.1448 10.5481 5.1503
-1.4321 1.4276 2.6113
-2.5077 2.0909 -0.4972
-2.2885 5.9878 3.8808
-4.8130 8.1685 3.4086
-4.2205 11.2114 2.0419
-3.3641 6.6512 0.7724
0.0000 0.0000 0.0000
```

## Properties
As for the energy of formation: -19 kJ/mol of atoms. As for the final energy: -3.272 eV per atom. Its space-group type is P4/mmm (123). The value obtained for the spin magnetization is 0.00 μB per atom. For the volume, the calculation gives 26.68 A^3/atom.

=====

(6)
Density functional theory data (GGA-PBE) for an optimized crystal structure of Tb4ScTl7.

POSCAR file:
```
Tb4ScTl7
1.0
-2.3561 -4.9221 -0.6681
7.3680 -6.4701 -0.9360
-0.6063 -3.6557 6.4515
Tl Tb Sc
7 4 1
Cartesian
1.7221 -7.0930 0.9442
-0.3169 -9.6809 4.5808
4.4574 -11.6190 2.0226
4.7226 -5.3670 0.2666
-0.0518 -3.4289 2.8248
-1.1780 -2.4610 -0.3340
2.6836 -7.9549 3.9032
2.7382 -11.1452 4.5945
-0.1374 -6.5360 3.3979
1.6674 -3.9027 0.2529
4.5430 -8.5119 1.4495
0.0000 0.0000 0.0000
```

## Properties
As for the energy of formation: -11 kJ/mol of atoms. As for the final energy: -3.563 eV per atom. Its space-group type is C2/m (12). The value obtained for the spin magnetization is 0.00 μB per atom. For the volume, the calculation gives 29.85 A^3/atom.

=====

(7)
Density functional theory data (GGA-PBE) for an optimized crystal structure of Tb2Sc2Tl7.

POSCAR file:
```
Tb2Sc2Tl7
1.0
-1.3790 1.3179 6.7016
-0.6553 -6.8583 1.2136
6.9362 -0.6230 0.2257
Tl Tb Sc
7 2 2
Cartesian
-0.8669 -1.2182 3.6806
5.7687 -4.9453 4.4603
0.0000 0.0000 0.0000
2.9894 -5.2928 0.9958
1.9124 -0.8707 7.1451
2.5998 -1.5445 3.7969
2.3021 -4.6190 4.3441
0.7147 -3.2988 1.9062
4.1872 -2.8647 6.2348
0.3398 -6.0945 6.0662
4.5620 -0.0690 2.0747
```

## Properties
As for the energy of formation: 10 kJ/mol of atoms. As for the final energy: -3.392 eV per atom. Its space-group type is Cmmm (65). The value obtained for the spin magnetization is 0.00 μB per atom. For the volume, the calculation gives 30.36 A^3/atom.

=====

(8)
Density functional theory data (GGA-PBE) for an optimized crystal structure of Tb2ScTl.

POSCAR file:
```
Tb2ScTl
1.0
3.4744 0.0000 0.0000
1.7372 3.0089 0.0000
1.7372 1.0030 11.7804
Tl Tb Sc
1 2 1
Cartesian
0.0000 0.0000 0.0000
5.2116 3.0089 3.2274
1.7372 1.0030 8.5530
3.4744 2.0060 5.8902
```

## Properties
As for the energy of formation: 9 kJ/mol of atoms. As for the final energy: -4.400 eV per atom. Its space-group type is R-3m (166). The value obtained for the spin magnetization is 0.00 μB per atom. For the volume, the calculation gives 30.79 A^3/atom.

=====

(9)
Density functional theory data (GGA-PBE) for an optimized crystal structure of Tb2Sc3Tl4.

POSCAR file:
```
Tb2Sc3Tl4
1.0
-1.8226 0.7085 -4.6907
-1.2790 -3.9976 -2.8598
-9.6197 0.3764 3.7949
Sc Tl Tb
3 4 2
Cartesian
0.0000 0.0000 0.0000
-7.5179 -1.9808 -2.8839
-5.2035 -0.9319 -0.8718
-10.6932 -1.8579 -1.6315
-8.0815 0.9513 -2.2220
-4.6399 -3.8641 -1.5336
-2.0282 -1.0549 -2.1242
-4.2281 -2.1052 -4.1809
-8.4933 -0.8075 0.4253
```

## Properties
As for the energy of formation: -26 kJ/mol of atoms. As for the final energy: -4.456 eV per atom. Its space-group type is C2/m (12). The value obtained for the spin magnetization is 0.00 μB per atom. For the volume, the calculation gives 25.70 A^3/atom.

=====

(10)
Density functional theory data (GGA-PBE) for an optimized crystal structure of Tb4ScTl5.

POSCAR file:
```
Tb4ScTl5
1.0
3.6943 0.0000 0.0000
0.0000 3.6943 0.0000
0.0000 0.0000 19.5806
Tb Tl Sc
4 5 1
Cartesian
0.0000 0.0000 7.7683
0.0000 0.0000 3.7369
0.0000 0.0000 15.8437
0.0000 0.0000 11.8123
1.8471 1.8471 5.7423
1.8471 1.8471 13.8383
1.8471 1.8471 17.8436
1.8471 1.8471 9.7903
1.8471 1.8471 1.7370
0.0000 0.0000 0.0000
```

## Properties
As for the energy of formation: -32 kJ/mol of atoms. As for the final energy: -4.004 eV per atom. Its space-group type is P4/mmm (123). The value obtained for the spin magnetization is 0.00 μB per atom. For the volume, the calculation gives 26.72 A^3/atom.

=====

(11)
Density functional theory data (GGA-PBE) for an optimized crystal structure of TbTmScTl.

POSCAR file:
```
TbTmScTl
1.0
5.3453 0.0000 0.0000
2.6727 4.6292 0.0000
2.6727 1.5431 4.3644
Tm Tl Tb Sc
1 1 1 1
Cartesian
8.0180 4.6292 3.2733
0.0000 0.0000 0.0000
2.6727 1.5431 1.0911
5.3453 3.0861 2.1822
```

## Properties
As for the energy of formation: -4 kJ/mol of atoms. As for the final energy: -4.496 eV per atom. Its space-group type is F-43m (216). The value obtained for the spin magnetization is 0.33 μB per atom. For the volume, the calculation gives 27.00 A^3/atom.

=====

(12)
Density functional theory data (GGA-PBE) for an optimized crystal structure of TbTmScTl.

POSCAR file:
```
TbTmScTl
1.0
-2.2710 -4.1196 -0.2431
1.9812 -1.3332 4.0822
-3.6652 1.8793 2.3926
Tm Tb Tl Sc
1 1 1 1
Cartesian
0.0000 0.0000 0.0000
-0.8420 0.2731 3.2374
-0.1449 -2.7264 1.9195
-2.9681 -1.1201 1.0747
```

## Properties
As for the energy of formation: -16 kJ/mol of atoms. As for the final energy: -4.621 eV per atom. Its space-group type is Pmmm (47). The value obtained for the spin magnetization is 0.28 μB per atom. For the volume, the calculation gives 26.53 A^3/atom.